The following is a PBE-GGA calculation of Ho6Tm5Th after structural relaxation, from Alexandria.

**E_form**: 30 meV per atom
**Volume**: 30.8 A^3/atom
**Total magnetization**: 0.0 μB/cell
**Space group**: No. 71
**Calculated total energy**: -4.74 eV/atom

Cell: 9.310 9.310 4.967 Å, 105.47 105.47 106.56°
Element x y z (fractional)
Ho 0.415 0.085 0.250
Ho 0.585 0.915 0.750
Ho 0.751 0.751 0.251
Ho 0.085 0.415 0.250
Ho 0.249 0.249 0.749
Ho 0.915 0.585 0.750
Tm 0.500 0.500 0.500
Tm 0.333 0.667 0.000
Tm 0.667 0.333 0.000
Tm 0.166 0.834 0.500
Tm 0.834 0.166 0.500
Th 0.000 0.000 0.000

The following is a PBE-GGA calculation of Ho7TmTh3 after structural relaxation, from Alexandria.

**E_form**: 150 meV per atom
**Volume**: 32.1 A^3/atom
**Total magnetization**: 0.0 μB/cell
**Space group**: No. 2
**Calculated total energy**: -5.19 eV/atom
**Energy above the lowest structure with this stoichiometry**: 0.0 kJ/mol of atoms

Cell: 6.656 8.589 6.415 Å, 82.98 83.31 101.36°
Element x y z (fractional)
Th 0.500 0.000 0.000
Th 0.945 0.835 0.177
Th 0.055 0.165 0.823
Tm 0.500 0.500 0.500
Ho 0.230 0.205 0.293
Ho 0.000 0.500 0.500
Ho 0.770 0.795 0.707
Ho 0.714 0.145 0.430
Ho 0.269 0.574 0.992
Ho 0.286 0.855 0.570
Ho 0.731 0.426 0.008

The following is a PBE-GGA calculation of Ho5Tm2Th4 after structural relaxation, from Alexandria.

**E_form**: 199 meV per atom
**Volume**: 32.3 A^3/atom
**Total magnetization**: 0.0 μB/cell
**Space group**: No. 12
**Calculated total energy**: -5.39 eV/atom
**Energy above the lowest structure with this stoichiometry**: 17.2 kJ/mol of atoms

Cell: 6.613 8.956 10.205 Å, 39.30 71.09 68.33°
Element x y z (fractional)
Th 0.752 0.658 0.837
Th 0.596 0.221 0.588
Th 0.248 0.342 0.163
Th 0.404 0.779 0.412
Tm 0.195 0.928 0.681
Tm 0.805 0.072 0.319
Ho 0.000 0.500 0.500
Ho 0.346 0.735 0.093
Ho 0.175 0.265 0.907
Ho 0.654 0.265 0.907
Ho 0.825 0.735 0.093

The following is a PBE-GGA calculation of Ho2Tm5Th3 after structural relaxation, from Alexandria.

**E_form**: 234 meV per atom
**Volume**: 32.0 A^3/atom
**Total magnetization**: 0.0 μB/cell
**Space group**: No. 15
**Calculated total energy**: -5.14 eV/atom

Cell: 8.985 8.977 11.028 Å, 122.02 122.04 72.40°
Element x y z (fractional)
Tm 0.376 0.124 0.743
Tm 0.470 0.720 0.440
Tm 0.133 0.380 0.257
Tm 0.530 0.280 0.560
Tm 0.719 0.469 0.938
Tm 0.281 0.531 0.062
Tm 0.031 0.781 0.561
Tm 0.969 0.219 0.439
Tm 0.867 0.620 0.743
Tm 0.624 0.876 0.257
Th 0.261 0.517 0.751
Th 0.990 0.234 0.751
Th 0.739 0.483 0.249
Th 0.228 0.978 0.956
Th 0.010 0.766 0.249
Th 0.772 0.022 0.044
Ho 0.527 0.274 0.260
Ho 0.473 0.726 0.740
Ho 0.233 0.986 0.260
Ho 0.767 0.014 0.740

The following is a PBE-GGA calculation of Ho3Tm8Th2 after structural relaxation, from Alexandria.

**E_form**: 168 meV per atom
**Volume**: 31.5 A^3/atom
**Total magnetization**: 0.0 μB/cell
**Space group**: No. 14
**Calculated total energy**: -4.78 eV/atom
**Energy above the lowest structure with this stoichiometry**: 0.0 kJ/mol of atoms

Cell: 13.123 8.464 17.234 Å, 90.00 90.00 154.66°
Element x y z (fractional)
Th 0.414 0.673 0.891
Th 0.914 0.673 0.609
Th 0.086 0.327 0.391
Th 0.586 0.327 0.109
Tm 0.001 0.372 0.920
Tm 0.061 0.710 0.427
Tm 0.999 0.628 0.080
Tm 0.501 0.372 0.580
Tm 0.499 0.628 0.420
Tm 0.561 0.710 0.073
Tm 0.939 0.290 0.573
Tm 0.674 0.490 0.384
Tm 0.174 0.490 0.116
Tm 0.326 0.510 0.616
Tm 0.606 0.066 0.261
Tm 0.894 0.935 0.761
Tm 0.106 0.065 0.239
Tm 0.394 0.934 0.739
Tm 0.826 0.510 0.884
Tm 0.439 0.290 0.927
Ho 0.500 0.000 0.500
Ho 0.698 0.792 0.246
Ho 0.802 0.208 0.746
Ho 0.000 0.000 0.000
Ho 0.302 0.208 0.754
Ho 0.198 0.792 0.254

The following is a PBE-GGA calculation of Ho4Tm5Th after structural relaxation, from Alexandria.

**E_form**: 336 meV per atom
**Volume**: 32.1 A^3/atom
**Total magnetization**: 0.0 μB/cell
**Space group**: No. 79
**Calculated total energy**: -4.47 eV/atom
**Energy above the lowest structure with this stoichiometry**: 14.3 kJ/mol of atoms

Cell: 6.304 7.798 7.798 Å, 80.60 66.16 66.16°
Element x y z (fractional)
Tm 0.807 0.377 0.908
Tm 0.692 0.000 0.000
Tm 0.184 0.908 0.623
Tm 0.092 0.623 0.092
Tm 0.715 0.092 0.377
Ho 0.397 0.400 0.704
Ho 0.102 0.296 0.400
Ho 0.501 0.600 0.296
Ho 0.797 0.704 0.600
Th 0.225 0.000 0.000

The following is a PBE-GGA calculation of Ho5Tm5Th2 after structural relaxation, from Alexandria.

**E_form**: 27 meV per atom
**Volume**: 30.9 A^3/atom
**Total magnetization**: 0.0 μB/cell
**Space group**: No. 12
**Calculated total energy**: -4.98 eV/atom
**Energy above the lowest structure with this stoichiometry**: 0.0 kJ/mol of atoms

Cell: 5.001 10.531 7.884 Å, 98.59 71.51 76.26°
Element x y z (fractional)
Tm 0.000 0.000 0.000
Tm 0.003 0.747 0.248
Tm 0.997 0.253 0.752
Tm 0.333 0.750 0.583
Tm 0.667 0.250 0.417
Th 0.668 0.500 0.164
Th 0.332 0.500 0.836
Ho 0.332 0.253 0.083
Ho 0.000 0.500 0.500
Ho 0.668 0.747 0.917
Ho 0.334 0.999 0.334
Ho 0.666 0.001 0.666

The following is a PBE-GGA calculation of HoTm4Th2 after structural relaxation, from Alexandria.

**E_form**: 822 meV per atom
**Volume**: 35.7 A^3/atom
**Total magnetization**: 0.0 μB/cell
**Space group**: No. 139
**Calculated total energy**: -4.51 eV/atom
**Energy above the lowest structure with this stoichiometry**: 68.2 kJ/mol of atoms

Cell: 5.466 5.466 9.209 Å, 107.26 107.26 90.00°
Element x y z (fractional)
Tm 0.500 0.000 0.000
Tm 0.000 0.500 0.000
Tm 0.821 0.821 0.642
Tm 0.179 0.179 0.358
Th 0.615 0.615 0.231
Th 0.385 0.385 0.769
Ho 0.000 0.000 0.000

The following is a PBE-GGA calculation of Ho5Tm3Th3 after structural relaxation, from Alexandria.

**E_form**: 390 meV per atom
**Volume**: 33.1 A^3/atom
**Total magnetization**: 0.0 μB/cell
**Space group**: No. 189
**Calculated total energy**: -4.93 eV/atom
**Energy above the lowest structure with this stoichiometry**: 0.0 kJ/mol of atoms

Cell: 3.402 11.115 11.115 Å, 120.00 90.00 90.00°
Element x y z (fractional)
Ho 0.500 0.161 0.161
Ho 0.500 0.000 0.839
Ho 0.500 0.667 0.333
Ho 0.500 0.333 0.667
Ho 0.500 0.839 0.000
Tm 0.000 0.408 0.408
Tm 0.000 0.592 0.000
Tm 0.000 0.000 0.592
Th 0.500 0.339 0.000
Th 0.500 0.661 0.661
Th 0.500 0.000 0.339

The following is a PBE-GGA calculation of Ho3Tm8Th after structural relaxation, from Alexandria.

**E_form**: 778 meV per atom
**Volume**: 36.8 A^3/atom
**Total magnetization**: 0.0 μB/cell
**Space group**: No. 139
**Calculated total energy**: -3.97 eV/atom

Cell: 7.601 7.601 9.351 Å, 113.98 113.98 90.00°
Element x y z (fractional)
Ho 0.750 0.250 0.500
Ho 0.250 0.750 0.500
Ho 0.500 0.500 0.000
Tm 0.125 0.125 0.750
Tm 0.625 0.125 0.750
Tm 0.625 0.625 0.750
Tm 0.375 0.875 0.250
Tm 0.875 0.875 0.250
Tm 0.125 0.625 0.750
Tm 0.375 0.375 0.250
Tm 0.875 0.375 0.250
Th 0.000 0.000 0.000

The following is a PBE-GGA calculation of HoTm9Th2 after structural relaxation, from Alexandria.

**E_form**: 111 meV per atom
**Volume**: 31.3 A^3/atom
**Total magnetization**: 0.0 μB/cell
**Space group**: No. 191
**Calculated total energy**: -4.86 eV/atom
**Energy above the lowest structure with this stoichiometry**: 7.5 kJ/mol of atoms

Cell: 3.448 11.209 11.209 Å, 120.00 90.00 90.00°
Element x y z (fractional)
Tm 0.500 0.348 0.174
Tm 0.000 0.500 0.500
Tm 0.000 0.500 0.000
Tm 0.500 0.174 0.826
Tm 0.500 0.826 0.174
Tm 0.500 0.826 0.652
Tm 0.500 0.652 0.826
Tm 0.500 0.174 0.348
Tm 0.000 0.000 0.500
Th 0.000 0.667 0.333
Th 0.000 0.333 0.667
Ho 0.000 0.000 0.000

The following is a PBE-GGA calculation of Ho2TmTh3 after structural relaxation, from Alexandria.

**E_form**: 469 meV per atom
**Volume**: 33.3 A^3/atom
**Total magnetization**: 0.0 μB/cell
**Space group**: No. 44
**Calculated total energy**: -5.51 eV/atom
**Energy above the lowest structure with this stoichiometry**: 41.3 kJ/mol of atoms

Cell: 3.368 11.707 7.923 Å, 137.63 102.27 90.00°
Element x y z (fractional)
Ho 0.167 0.916 0.334
Ho 0.833 0.581 0.666
Th 0.667 0.665 0.333
Th 0.000 0.000 0.000
Th 0.333 0.332 0.667
Tm 0.500 0.250 0.000

The following is a PBE-GGA calculation of Ho5Tm2Th after structural relaxation, from Alexandria.

**E_form**: 27 meV per atom
**Volume**: 31.0 A^3/atom
**Total magnetization**: 0.0 μB/cell
**Space group**: No. 55
**Calculated total energy**: -4.88 eV/atom
**Energy above the lowest structure with this stoichiometry**: 0.0 kJ/mol of atoms

Cell: 4.978 7.050 14.126 Å, 90.00 90.00 90.00°
Element x y z (fractional)
Ho 0.000 0.500 0.500
Ho 0.000 0.000 0.000
Ho 0.000 0.003 0.251
Ho 0.000 0.503 0.249
Ho 0.000 0.497 0.751
Ho 0.500 0.253 0.876
Ho 0.500 0.747 0.124
Ho 0.500 0.753 0.624
Ho 0.000 0.997 0.749
Ho 0.500 0.247 0.376
Tm 0.500 0.756 0.376
Tm 0.500 0.256 0.124
Tm 0.500 0.744 0.876
Tm 0.500 0.244 0.624
Th 0.000 0.500 0.000
Th 0.000 0.000 0.500

The following is a PBE-GGA calculation of Ho2Tm3Th after structural relaxation, from Alexandria.

**E_form**: 127 meV per atom
**Volume**: 31.0 A^3/atom
**Total magnetization**: 0.0 μB/cell
**Space group**: No. 12
**Calculated total energy**: -4.87 eV/atom
**Energy above the lowest structure with this stoichiometry**: 0.0 kJ/mol of atoms

Cell: 5.733 6.697 14.691 Å, 47.50 78.75 64.65°
Element x y z (fractional)
Ho 0.871 0.379 0.879
Ho 0.129 0.621 0.121
Ho 0.369 0.878 0.383
Ho 0.631 0.122 0.617
Th 0.617 0.477 0.288
Th 0.383 0.523 0.712
Tm 0.371 0.226 0.031
Tm 0.118 0.975 0.789
Tm 0.123 0.292 0.462
Tm 0.629 0.774 0.969
Tm 0.877 0.708 0.538
Tm 0.882 0.025 0.211

The following is a PBE-GGA calculation of HoTm2Th after structural relaxation, from Alexandria.

**E_form**: 36 meV per atom
**Volume**: 30.8 A^3/atom
**Total magnetization**: 0.0 μB/cell
**Space group**: No. 123
**Calculated total energy**: -5.20 eV/atom
**Energy above the lowest structure with this stoichiometry**: 1.1 kJ/mol of atoms

Cell: 4.953 4.990 4.990 Å, 90.00 90.00 90.00°
Element x y z (fractional)
Th 0.500 0.000 0.000
Ho 0.500 0.500 0.500
Tm 0.000 0.000 0.500
Tm 0.000 0.500 0.000

The following is a PBE-GGA calculation of Ho4Tm5Th3 after structural relaxation, from Alexandria.

**E_form**: 375 meV per atom
**Volume**: 32.2 A^3/atom
**Total magnetization**: 0.0 μB/cell
**Space group**: No. 12
**Calculated total energy**: -4.87 eV/atom

Cell: 5.670 9.724 9.220 Å, 114.30 72.09 73.05°
Element x y z (fractional)
Th 0.450 0.732 0.367
Th 0.000 0.500 0.500
Th 0.550 0.268 0.633
Ho 0.839 0.201 0.120
Ho 0.936 0.847 0.280
Ho 0.064 0.153 0.720
Ho 0.161 0.799 0.880
Tm 0.267 0.399 0.068
Tm 0.500 0.500 0.500
Tm 0.354 0.051 0.241
Tm 0.733 0.601 0.932
Tm 0.646 0.949 0.759

The following is a PBE-GGA calculation of Ho2Tm3Th3 after structural relaxation, from Alexandria.

**E_form**: 33 meV per atom
**Volume**: 31.3 A^3/atom
**Total magnetization**: 0.0 μB/cell
**Space group**: No. 71
**Calculated total energy**: -5.57 eV/atom
**Energy above the lowest structure with this stoichiometry**: 0.0 kJ/mol of atoms

Cell: 4.988 4.983 10.661 Å, 103.51 103.53 90.00°
Element x y z (fractional)
Tm 0.000 0.500 0.000
Tm 0.125 0.125 0.249
Tm 0.875 0.875 0.751
Ho 0.250 0.750 0.500
Ho 0.750 0.250 0.500
Th 0.376 0.376 0.752
Th 0.624 0.624 0.248
Th 0.500 0.000 0.000

The following is a PBE-GGA calculation of Ho12Tm7Th after structural relaxation, from Alexandria.

**E_form**: 772 meV per atom
**Volume**: 35.2 A^3/atom
**Total magnetization**: 0.0 μB/cell
**Space group**: No. 204
**Calculated total energy**: -3.91 eV/atom
**Energy above the lowest structure with this stoichiometry**: 51.1 kJ/mol of atoms

Cell: 9.711 9.711 9.711 Å, 109.47 109.47 109.47°
Element x y z (fractional)
Tm 0.500 0.000 0.500
Tm 0.500 0.500 0.000
Tm 0.500 0.000 0.000
Tm 0.000 0.000 0.500
Tm 0.500 0.500 0.500
Tm 0.000 0.500 0.500
Tm 0.000 0.500 0.000
Ho 0.999 0.752 0.247
Ho 0.001 0.248 0.753
Ho 0.752 0.247 0.999
Ho 0.247 0.999 0.752
Ho 0.505 0.752 0.753
Ho 0.752 0.753 0.505
Ho 0.753 0.505 0.752
Ho 0.248 0.753 0.001
Ho 0.753 0.001 0.248
Ho 0.247 0.495 0.248
Ho 0.248 0.247 0.495
Ho 0.495 0.248 0.247
Th 0.000 0.000 0.000

The following is a PBE-GGA calculation of Y6HoTm2Th after structural relaxation, from Alexandria.

**E_form**: 149 meV per atom
**Volume**: 32.3 A^3/atom
**Total magnetization**: 0.0 μB/cell
**Space group**: No. 15
**Calculated total energy**: -5.82 eV/atom

Cell: 9.256 8.838 8.838 Å, 116.42 92.37 92.37°
Element x y z (fractional)
Y 0.107 0.713 0.480
Y 0.942 0.881 0.229
Y 0.313 0.995 0.435
Y 0.687 0.005 0.565
Y 0.813 0.435 0.995
Y 0.187 0.565 0.005
Y 0.442 0.229 0.881
Y 0.893 0.287 0.520
Y 0.558 0.771 0.119
Y 0.393 0.520 0.287
Y 0.607 0.480 0.713
Y 0.058 0.119 0.771
Ho 0.250 0.416 0.584
Ho 0.750 0.584 0.416
Th 0.250 0.966 0.034
Th 0.750 0.034 0.966
Tm 0.943 0.693 0.798
Tm 0.557 0.202 0.307
Tm 0.057 0.307 0.202
Tm 0.443 0.798 0.693

The following is a PBE-GGA calculation of Y2Ho6Tm3Th after structural relaxation, from Alexandria.

**E_form**: 30 meV per atom
**Volume**: 31.1 A^3/atom
**Total magnetization**: 0.0 μB/cell
**Space group**: No. 12
**Calculated total energy**: -5.07 eV/atom

Cell: 6.116 6.116 11.705 Å, 95.00 95.00 119.96°
Element x y z (fractional)
Ho 0.085 0.414 0.252
Ho 0.915 0.586 0.748
Ho 0.245 0.245 0.748
Ho 0.755 0.755 0.252
Ho 0.586 0.915 0.748
Ho 0.414 0.085 0.252
Tm 0.500 0.500 0.500
Tm 0.833 0.167 0.500
Tm 0.167 0.833 0.500
Th 0.000 0.000 0.000
Y 0.333 0.667 0.000
Y 0.667 0.333 0.000